--- A ---
An optimized crystal structure of ScCrSbTe2, computed with GGA-PBE.

Computed properties:
Total magnetization ... 0.1 μB per formula unit

```
ScCrSbTe2
1.0
5.4462 0.0000 0.0000
0.0000 5.4462 0.0000
0.0000 0.0000 5.4990
Sc Cr Sb Te
1 1 1 2
Direct
0.0000 0.0000 0.0000
0.5000 0.5000 0.5000
0.0000 0.0000 0.5000
0.0000 0.5000 0.0000
0.5000 0.0000 0.0000
```

--- B ---
An optimized crystal structure of ScCrSbTe2, computed with GGA-PBE.

Computed properties:
Total magnetization ... 3.2 μB per formula unit

```
ScCrSbTe2
1.0
5.2741 0.0000 0.0000
0.0000 5.2741 0.0000
0.0000 0.0000 5.0535
Sc Cr Sb Te
1 1 1 2
Direct
0.0000 0.0000 0.0000
0.5000 0.5000 0.5000
0.5000 0.5000 0.0000
0.0000 0.5000 0.5000
0.5000 0.0000 0.5000
```

Q: Which of them is the least stable? A: A.

--- A ---
An optimized crystal structure of Cr2SbSe, computed with GGA-PBE.

Computed properties:
Total magnetization ... 6.5 μB per formula unit

```
Cr2SbSe
1.0
3.6756 0.0000 0.0000
0.0000 3.6756 0.0000
0.0000 0.0000 5.7813
Cr Sb Se
2 1 1
Direct
0.0000 0.0000 0.0000
0.5000 0.5000 0.3401
0.0000 0.0000 0.4855
0.5000 0.5000 0.9162
```

--- B ---
An optimized crystal structure of Cr2SbSe, computed with GGA-PBE.

Computed properties:
Total magnetization ... 7.3 μB per formula unit

```
Cr2SbSe
1.0
6.8282 0.0000 0.0000
0.0000 6.8282 0.0000
0.0000 0.0000 6.8282
Cr Sb Se
8 4 4
Direct
0.0000 0.0000 0.0000
0.0000 0.5000 0.5000
0.2500 0.2500 0.2500
0.2500 0.7500 0.7500
0.5000 0.0000 0.5000
0.5000 0.5000 0.0000
0.7500 0.2500 0.7500
0.7500 0.7500 0.2500
0.0000 0.0000 0.5000
0.0000 0.5000 0.0000
0.5000 0.0000 0.0000
0.5000 0.5000 0.5000
0.2500 0.2500 0.7500
0.2500 0.7500 0.2500
0.7500 0.2500 0.2500
0.7500 0.7500 0.7500
```

--- C ---
An optimized crystal structure of Cr2SbSe, computed with GGA-PBE.

Computed properties:
Total magnetization ... 7.3 μB per formula unit

```
Cr2SbSe
1.0
6.8068 0.0000 0.0000
0.0000 6.8093 0.0000
-0.0102 0.0000 3.3162
Cr Sb Se
4 2 2
Direct
0.2500 0.2500 0.0000
0.2500 0.7500 0.0000
0.7500 0.2500 0.0000
0.7500 0.7500 0.0000
0.0000 0.0000 0.5000
0.5000 0.5000 0.5000
0.0000 0.5000 0.5000
0.5000 0.0000 0.5000
```

Q: Which of them is the least stable? A: B.

--- A ---
An optimized crystal structure of Cr2SbSe, computed with GGA-PBE.

Computed properties:
Total magnetization ... 7.1 μB per formula unit

```
Cr2SbSe
1.0
6.5828 0.0000 0.0000
0.0000 3.7921 0.0000
-2.1937 0.0000 6.4572
Cr Sb Se
4 2 2
Direct
0.2446 0.0000 0.2336
0.2554 0.5000 0.7664
0.7446 0.5000 0.2336
0.7554 0.0000 0.7664
0.0000 0.0000 0.5000
0.5000 0.5000 0.5000
0.0000 0.5000 0.0000
0.5000 0.0000 0.0000
```

--- B ---
An optimized crystal structure of Cr2SbSe, computed with GGA-PBE.

Computed properties:
Total magnetization ... 0.7 μB per formula unit

```
Cr2SbSe
1.0
3.1878 0.0000 0.0000
-1.5939 2.7607 0.0000
0.0000 0.0000 29.1141
Cr Sb Se
6 3 3
Direct
0.0000 0.0000 0.0000
0.0000 0.0000 0.2664
0.3333 0.6667 0.6667
0.3333 0.6667 0.9331
0.6667 0.3333 0.3333
0.6667 0.3333 0.5998
0.0000 0.0000 0.5246
0.3333 0.6667 0.1913
0.6667 0.3333 0.8580
0.0000 0.0000 0.7213
0.3333 0.6667 0.3880
0.6667 0.3333 0.0546
```

--- C ---
An optimized crystal structure of Cr2SbSe, computed with GGA-PBE.

Computed properties:
Total magnetization ... 7.2 μB per formula unit

```
Cr2SbSe
1.0
13.1862 0.0000 0.0000
0.0000 3.4174 0.0000
-0.0041 0.0000 3.7671
Cr Sb Se
4 2 2
Direct
0.0000 0.0000 0.0000
0.1997 0.0000 0.5019
0.5000 0.5000 0.0000
0.6997 0.5000 0.5019
0.4070 0.0000 0.4996
0.9070 0.5000 0.4996
0.1559 0.5000 0.0016
0.6559 0.0000 0.0016
```

--- D ---
An optimized crystal structure of Cr2SbSe, computed with GGA-PBE.

Computed properties:
Total magnetization ... 3.2 μB per formula unit

```
Cr2SbSe
1.0
6.3828 0.0000 0.0000
0.0000 6.3828 0.0000
0.0000 0.0000 6.3828
Cr Sb Se
8 4 4
Direct
0.2500 0.2500 0.2500
0.2500 0.2500 0.7500
0.2500 0.7500 0.2500
0.2500 0.7500 0.7500
0.7500 0.2500 0.2500
0.7500 0.2500 0.7500
0.7500 0.7500 0.2500
0.7500 0.7500 0.7500
0.0000 0.0000 0.0000
0.0000 0.5000 0.5000
0.5000 0.0000 0.5000
0.5000 0.5000 0.0000
0.0000 0.0000 0.5000
0.0000 0.5000 0.0000
0.5000 0.0000 0.0000
0.5000 0.5000 0.5000
```

Q: Which of them is the least stable? A: D.

--- A ---
An optimized crystal structure of Cr2SbSe, computed with GGA-PBE.

Computed properties:
Total magnetization ... 7.0 μB per formula unit

```
Cr2SbSe
1.0
5.9188 0.0000 0.0000
0.0000 5.9188 0.0000
0.0000 0.0000 12.0620
Cr Sb Se
8 4 4
Direct
0.2205 0.2500 0.1250
0.2500 0.7205 0.3750
0.2500 0.7795 0.8750
0.2795 0.2500 0.6250
0.7205 0.7500 0.6250
0.7500 0.2205 0.8750
0.7500 0.2795 0.3750
0.7795 0.7500 0.1250
0.0000 0.0000 0.5000
0.0000 0.5000 0.7500
0.5000 0.0000 0.2500
0.5000 0.5000 0.0000
0.0000 0.0000 0.0000
0.0000 0.5000 0.2500
0.5000 0.0000 0.7500
0.5000 0.5000 0.5000
```

--- B ---
An optimized crystal structure of Cr2SbSe, computed with GGA-PBE.

Computed properties:
Total magnetization ... 1.0 μB per formula unit

```
Cr2SbSe
1.0
3.1874 0.0000 0.0000
0.0000 4.1863 0.0000
0.0000 0.0000 13.0717
Cr Sb Se
4 2 2
Direct
0.0000 0.0000 0.0000
0.0000 0.5000 0.1052
0.5000 0.0000 0.6052
0.5000 0.5000 0.5000
0.0000 0.5000 0.6923
0.5000 0.0000 0.1923
0.0000 0.0000 0.4586
0.5000 0.5000 0.9586
```

Q: Which of them is the least stable? A: A.